1.
Crystalline YZrCd2 at its relaxed geometry, computed with GGA-PBE.

The calculation puts the formation energy at -46 meV/atom. The energy above the most stable polymorph in this dataset comes out at 126 meV/atom. As for the crystal system: tetragonal. Its total magnetization is 0.19 μB/atom. Its theoretical density is 7031 kg/m³.

Cell: 4.4307 4.4307 9.7441 Å, 90.00 90.00 90.00°
With the nearest neighbours (Å) after each atom.
Space group I-4m2 (No. 119)
Unique sites:
Y: 0.0000 0.0000 0.0000 x2  8 Cd 3.13-3.29, 4 Zr 3.29
Zr: 0.0000 0.5000 0.7500 x2  8 Cd 3.13-3.29, 4 Y 3.29
Cd: 0.0000 0.0000 0.5000 x2  4 Y 3.13, 4 Zr 3.29, 4 Cd 3.29
Cd: 0.0000 0.5000 0.2500 x2  4 Zr 3.13, 4 Cd 3.29, 4 Y 3.29

---

2.
Crystalline YZrCd2 at its relaxed geometry, computed with GGA-PBE.

The calculation puts the formation energy at -1 meV/atom. The energy above the most stable polymorph in this dataset comes out at 172 meV/atom. As for the crystal system: trigonal. Its total magnetization is 0.00 μB/atom. Its theoretical density is 6715 kg/m³.

Cell: 3.3512 3.3512 30.8872 Å, 90.00 90.00 120.00°
With the nearest neighbours (Å) after each atom.
Space group R3m (No. 160, hexagonal axes)
Unique sites:
Y: 0.0000 0.0000 0.0000 x3  3 Zr 3.26, 3 Cd 3.32, 6 Y 3.35
Zr: 0.0000 0.0000 0.7518 x3  3 Cd 3.16, 3 Y 3.26, 6 Zr 3.35
Cd: 0.0000 0.0000 0.2459 x3  9 Cd 3.13-3.35, 3 Y 3.32
Cd: 0.0000 0.0000 0.4995 x3  9 Cd 3.13-3.35, 3 Zr 3.16

---

3.
Crystalline YZrCd2 at its relaxed geometry, computed with GGA-PBE.

The calculation puts the formation energy at -173 meV/atom. The energy above the most stable polymorph in this dataset comes out at 0 meV/atom. As for the crystal system: orthorhombic. Its total magnetization is 0.00 μB/atom. Its theoretical density is 7065 kg/m³.

Cell: 3.3285 4.2528 6.7243 Å, 90.00 90.00 90.00°
With the nearest neighbours (Å) after each atom.
Space group Pmmm (No. 47)
Unique sites:
Y: 0.0000 0.0000 0.0000 x1  8 Cd 3.24, 2 Y 3.33, 2 Zr 3.36
Zr: 0.0000 0.0000 0.5000 x1  8 Cd 3.12, 2 Zr 3.33, 2 Y 3.36
Cd: 0.5000 0.5000 0.2669 x2  4 Zr 3.12, 3 Cd 3.14-3.33, 4 Y 3.24

---

4.
Crystalline YZrCd2 at its relaxed geometry, computed with GGA-PBE.

The calculation puts the formation energy at -23 meV/atom. The energy above the most stable polymorph in this dataset comes out at 149 meV/atom. As for the crystal system: monoclinic. Its total magnetization is 0.00 μB/atom. Its theoretical density is 6631 kg/m³.

Cell: 10.0717 3.4086 6.0135 Å, 90.00 100.78 90.00°
With the nearest neighbours (Å) after each atom.
Space group C2/m (No. 12)
Unique sites:
Y: 0.0000 0.0000 0.0000 x2  6 Cd 3.21-3.25, 2 Y 3.41, 4 Zr 3.46
Zr: 0.0000 0.5000 0.5000 x2  6 Cd 3.11-3.13, 2 Zr 3.41, 4 Y 3.46
Cd: 0.2458 0.0000 0.7288 x4  3 Zr 3.11-3.13, 3 Y 3.21-3.25, 4 Cd 3.25-3.41

---

5.
Crystalline YZrCd2 at its relaxed geometry, computed with GGA-PBE.

The calculation puts the formation energy at -99 meV/atom. The energy above the most stable polymorph in this dataset comes out at 73 meV/atom. As for the crystal system: monoclinic. Its total magnetization is 0.00 μB/atom. Its theoretical density is 6974 kg/m³.

Cell: 11.7653 3.5167 5.1755 Å, 90.00 115.76 90.00°
With the nearest neighbours (Å) after each atom.
Space group Cm (No. 8)
Unique sites:
Y: 0.0000 0.0000 0.0000 x2  6 Cd 3.13-3.30, 2 Zr 3.28
Zr: 0.2387 0.0000 0.7373 x2  6 Cd 3.14-3.21, 2 Y 3.28
Cd: 0.2639 0.5000 0.2616 x2  2 Cd 2.93, 4 Zr 3.14
Cd: 0.4852 0.0000 0.4862 x2  2 Cd 2.93, 4 Y 3.13-3.14, 2 Zr 3.21

---

6.
Crystalline YZr2Cd at its relaxed geometry, computed with GGA-PBE.

The calculation puts the formation energy at 60 meV/atom. As for the crystal system: orthorhombic. Its total magnetization is 0.00 μB/atom. Its theoretical density is 6468 kg/m³.

Cell: 3.3965 5.4320 10.6799 Å, 90.00 90.00 90.00°
With the nearest neighbours (Å) after each atom.
Space group Imm2 (No. 44)
Unique sites:
Y: 0.0000 0.0000 0.0000 x2  2 Cd 3.16, 6 Zr 3.21-3.36, 2 Y 3.40
Zr: 0.0000 0.0000 0.5155 x2  2 Cd 3.03, 2 Zr 3.11, 4 Y 3.21
Zr: 0.0000 0.5000 0.7718 x2  4 Zr 3.11-3.40, 4 Cd 3.21, 2 Y 3.36
Cd: 0.0000 0.5000 0.2503 x2  6 Zr 3.03-3.21, 2 Y 3.16

---

7.
Crystalline YZrCd14 at its relaxed geometry, computed with GGA-PBE.

The calculation puts the formation energy at -83 meV/atom. As for the crystal system: tetragonal. Its total magnetization is 0.00 μB/atom. Its theoretical density is 8090 kg/m³.

Cell: 6.5147 6.5147 8.4822 Å, 90.00 90.00 90.00°
With the nearest neighbours (Å) after each atom.
Space group P4/mmm (No. 123)
Unique sites:
Y: 0.0000 0.0000 0.0000 x1  12 Cd 3.19-3.26
Zr: 0.5000 0.5000 0.0000 x1  12 Cd 3.12-3.26
Cd: 0.0000 0.0000 0.5000 x1  12 Cd 3.15-3.26
Cd: 0.0000 0.5000 0.0000 x2  8 Cd 3.15, 2 Zr 3.26, 2 Y 3.26
Cd: 0.0000 0.5000 0.5000 x2  12 Cd 3.11-3.26
Cd: 0.2552 0.2552 0.2533 x8  10 Cd 3.08-3.33, 1 Zr 3.12, 1 Y 3.19
Cd: 0.5000 0.5000 0.5000 x1  12 Cd 3.08-3.26

---

8.
Crystalline Y2ZrCd at its relaxed geometry, computed with GGA-PBE.

The calculation puts the formation energy at 28 meV/atom. As for the crystal system: orthorhombic. Its total magnetization is 0.00 μB/atom. Its theoretical density is 5929 kg/m³.

Cell: 3.8008 5.2040 10.8030 Å, 90.00 90.00 90.00°
With the nearest neighbours (Å) after each atom.
Space group Immm (No. 71)
Unique sites:
Y: 0.0000 0.0000 0.2293 x4  2 Cd 3.12, 4 Y 3.25, 2 Zr 3.49
Zr: 0.0000 0.5000 0.0000 x2  4 Cd 3.22, 8 Y 3.49-3.59
Cd: 0.0000 0.5000 0.5000 x2  4 Y 3.12, 4 Zr 3.22

---

9.
Crystalline YZr2Cd at its relaxed geometry, computed with GGA-PBE.

The calculation puts the formation energy at 49 meV/atom. As for the crystal system: monoclinic. Its total magnetization is 0.00 μB/atom. Its theoretical density is 6475 kg/m³.

Cell: 3.2020 5.5274 5.5953 Å, 90.00 96.34 90.00°
With the nearest neighbours (Å) after each atom.
Space group P2/m (No. 10)
Unique sites:
Y: 0.0000 0.0000 0.0000 x1  4 Cd 3.07-3.37, 2 Y 3.20, 4 Zr 3.33
Zr: 0.3117 0.5000 0.7391 x2  5 Zr 3.03-3.20, 2 Cd 3.16, 2 Y 3.33
Cd: 0.5000 0.0000 0.5000 x1  4 Y 3.07-3.37, 4 Zr 3.16, 2 Cd 3.20

---

10.
Crystalline Y2ZrCd at its relaxed geometry, computed with GGA-PBE.

The calculation puts the formation energy at 8 meV/atom. As for the crystal system: orthorhombic. Its total magnetization is 0.00 μB/atom. Its theoretical density is 5931 kg/m³.

Cell: 3.4536 4.6320 6.6759 Å, 90.00 90.00 90.00°
With the nearest neighbours (Å) after each atom.
Space group Pmm2 (No. 25)
Unique sites:
Y: 0.0000 0.0000 0.0000 x1  2 Zr 3.28-3.40, 4 Cd 3.31, 6 Y 3.45-3.47
Y: 0.5000 0.5000 0.2869 x1  2 Cd 3.15-3.52, 4 Zr 3.25, 6 Y 3.45-3.47
Zr: 0.0000 0.0000 0.5086 x1  6 Y 3.25-3.40, 4 Cd 3.34, 2 Zr 3.45
Cd: 0.5000 0.5000 0.7594 x1  6 Y 3.15-3.52, 4 Zr 3.34, 2 Cd 3.45

---

11.
Crystalline YZrCd2 at its relaxed geometry, computed with GGA-PBE.

The calculation puts the formation energy at 216 meV/atom. The energy above the most stable polymorph in this dataset comes out at 389 meV/atom. As for the crystal system: tetragonal. Its total magnetization is 0.00 μB/atom. Its theoretical density is 6526 kg/m³.

Cell: 8.2718 8.2718 6.0239 Å, 90.00 90.00 90.00°
With the nearest neighbours (Å) after each atom.
Space group I-42d (No. 122)
Unique sites:
Y: 0.0000 0.0000 0.0000 x4  2 Zr 3.01, 4 Cd 3.12
Zr: 0.0000 0.0000 0.5000 x4  4 Cd 2.93, 2 Y 3.01
Cd: 0.2330 0.7500 0.6250 x8  2 Zr 2.93, 2 Cd 3.03, 2 Y 3.12

---

12.
Crystalline Y2ZrCd at its relaxed geometry, computed with GGA-PBE.

The calculation puts the formation energy at -130 meV/atom. As for the crystal system: tetragonal. Its total magnetization is 0.00 μB/atom. Its theoretical density is 5898 kg/m³.

Cell: 3.4651 3.4651 8.9442 Å, 90.00 90.00 90.00°
With the nearest neighbours (Å) after each atom.
Space group P4/mmm (No. 123)
Unique sites:
Y: 0.0000 0.0000 0.2448 x2  4 Cd 3.29, 4 Zr 3.35, 4 Y 3.47
Zr: 0.5000 0.5000 0.5000 x1  8 Y 3.35, 4 Zr 3.47
Cd: 0.5000 0.5000 0.0000 x1  8 Y 3.29, 4 Cd 3.47

---

13.
Crystalline YZr2Cd at its relaxed geometry, computed with GGA-PBE.

The calculation puts the formation energy at 103 meV/atom. As for the crystal system: orthorhombic. Its total magnetization is 0.00 μB/atom. Its theoretical density is 6545 kg/m³.

Cell: 6.4508 9.5589 3.1579 Å, 90.00 90.00 90.00°
With the nearest neighbours (Å) after each atom.
Space group Cmmm (No. 65)
Unique sites:
Y: 0.0000 0.0000 0.0000 x2  2 Y 3.16, 2 Cd 3.23, 8 Zr 3.29
Zr: 0.2500 0.2500 0.5000 x4  4 Zr 3.16-3.23, 4 Y 3.29, 4 Cd 3.29
Cd: 0.0000 0.5000 0.0000 x2  2 Cd 3.16, 2 Y 3.23, 8 Zr 3.29

---

14.
Crystalline YZrCd2 at its relaxed geometry, computed with GGA-PBE.

The calculation puts the formation energy at -127 meV/atom. The energy above the most stable polymorph in this dataset comes out at 46 meV/atom. As for the crystal system: tetragonal. Its total magnetization is 0.00 μB/atom. Its theoretical density is 6897 kg/m³.

Cell: 3.3458 3.3458 8.7090 Å, 90.00 90.00 90.00°
With the nearest neighbours (Å) after each atom.
Space group P4mm (No. 99)
Unique sites:
Y: 0.0000 0.0000 0.0000 x1  4 Zr 3.32, 4 Cd 3.32, 4 Y 3.35
Zr: 0.5000 0.5000 0.2667 x1  4 Cd 3.15, 4 Y 3.32, 4 Zr 3.35
Cd: 0.0000 0.0000 0.5046 x1  8 Cd 3.09-3.35, 4 Zr 3.15
Cd: 0.5000 0.5000 0.7330 x1  8 Cd 3.09-3.35, 4 Y 3.32